Here is NbInCoRh after structural relaxation from Alexandria. Energies are from GGA-PBE.

a b c (Å): 4.477 4.477 4.477
angles (deg): 60.00 60.00 60.00
Last column: magnetic moment on the atom in μB.
Element x y z (fractional)
Co  0.750  0.750  0.750  1.47
Nb  0.000  0.000  0.000  0.17
Rh  0.250  0.250  0.250  0.33
In  0.500  0.500  0.500  0.01

Results
uncorrected energy = -28.15 eV per cell
D(E_F) = 1.3 states/eV per cell

---

Here is NbInCoRu after structural relaxation from Alexandria. Energies are from GGA-PBE.

a b c (Å): 4.458 4.458 4.458
angles (deg): 60.00 60.00 60.00
Last column: magnetic moment on the atom in μB.
Element x y z (fractional)
Ru  0.750  0.750  0.750  0.16
Nb  0.000  0.000  0.000  -0.01
Co  0.250  0.250  0.250  0.94
In  0.500  0.500  0.500  -0.01

Results
uncorrected energy = -29.65 eV per cell
D(E_F) = 1.6 states/eV per cell

---

Here is Nb2In2CoS6 after structural relaxation from Alexandria. Energies are from GGA-PBE.

a b c (Å): 6.034 6.034 7.835
angles (deg): 97.00 97.00 121.76
Last column: magnetic moment on the atom in μB.
Element x y z (fractional)
Nb  0.355  0.645  0.500  0.03
Nb  0.645  0.355  0.500  0.03
In  0.815  0.185  0.000  0.01
In  0.185  0.815  0.000  0.01
Co  0.000  0.000  0.500  0.86
S  0.763  0.763  0.704  -0.01
S  0.050  0.378  0.680  0.00
S  0.237  0.237  0.296  -0.01
S  0.378  0.050  0.680  0.00
S  0.950  0.622  0.320  0.00
S  0.622  0.950  0.320  0.00

Results
ΔE_f (raw) = -6.62 eV/f.u.
D(E_F) = 3.5 states/eV per cell

---

Here is NbInCoTc after structural relaxation from Alexandria. Energies are from GGA-PBE.

a b c (Å): 4.468 4.468 4.468
angles (deg): 60.00 60.00 60.00
Element x y z (fractional)
Nb  0.000  0.000  0.000
Co  0.750  0.750  0.750
Tc  0.250  0.250  0.250
In  0.500  0.500  0.500

Results
uncorrected energy = -30.37 eV per cell
D(E_F) = 0.6 states/eV per cell

---

Here is NbTlInCo2 after structural relaxation from Alexandria. Energies are from GGA-PBE.

a b c (Å): 4.695 5.268 4.695
angles (deg): 90.00 90.00 90.00
Last column: magnetic moment on the atom in μB.
Element x y z (fractional)
Tl  0.000  0.000  0.000  -0.05
Co  0.000  0.000  0.500  1.67
Co  0.500  0.000  0.000  1.53
Nb  0.500  0.500  0.500  -1.31
In  0.000  0.500  0.000  0.05

Results
uncorrected energy = -20.72 eV per cell
D(E_F) = 5.8 states/eV per cell

---

Here is NbZnInCo after structural relaxation from Alexandria. Energies are from GGA-PBE.

a b c (Å): 4.462 4.462 4.462
angles (deg): 60.00 60.00 60.00
Last column: magnetic moment on the atom in μB.
Element x y z (fractional)
Nb  0.250  0.250  0.250  -0.03
Co  0.500  0.500  0.500  0.26
Zn  0.000  0.000  0.000  0.01
In  0.750  0.750  0.750  0.00

Results
uncorrected energy = -20.94 eV per cell
D(E_F) = 2.9 states/eV per cell

---

Here is Nd12In6Co after structural relaxation from Alexandria. Energies are from GGA-PBE.

a b c (Å): 8.501 8.501 8.501
angles (deg): 94.36 94.36 94.36
Element x y z (fractional)
Nd  0.802  0.573  0.458
Nd  0.458  0.802  0.573
Nd  0.573  0.458  0.802
Nd  0.198  0.427  0.542
Nd  0.542  0.198  0.427
Nd  0.427  0.542  0.198
Nd  0.981  0.085  0.314
Nd  0.915  0.686  0.019
Nd  0.686  0.019  0.915
Nd  0.019  0.915  0.686
Nd  0.085  0.314  0.981
Nd  0.314  0.981  0.085
In  0.658  0.859  0.264
In  0.736  0.342  0.141
In  0.141  0.736  0.342
In  0.342  0.141  0.736
In  0.264  0.658  0.859
In  0.859  0.264  0.658
Co  0.000  0.000  0.000

Results
uncorrected energy = -84.61 eV per cell
D(E_F) = 21.6 states/eV per cell

---

Here is Nd8In2Co after structural relaxation from Alexandria. Energies are from GGA-PBE.

a b c (Å): 5.694 7.034 9.322
angles (deg): 111.08 107.78 90.00
Element x y z (fractional)
Nd  0.396  0.606  0.792
Nd  0.634  0.900  0.269
Nd  0.798  0.765  0.597
Nd  0.997  0.236  0.995
Nd  0.202  0.235  0.403
Nd  0.366  0.100  0.731
Nd  0.604  0.394  0.208
Nd  0.003  0.764  0.005
In  0.818  0.310  0.636
In  0.182  0.690  0.364
Co  0.500  0.000  0.000

Results
uncorrected energy = -52.70 eV per cell
D(E_F) = 11.1 states/eV per cell

---

Here is Nd2In8Co after structural relaxation from Alexandria. Energies are from GGA-PBE.

a b c (Å): 4.649 4.649 12.360
angles (deg): 90.00 90.00 90.00
Element x y z (fractional)
Nd  0.000  0.000  0.694
Nd  0.000  0.000  0.306
In  0.500  0.000  0.883
In  0.000  0.500  0.883
In  0.500  0.000  0.117
In  0.000  0.500  0.117
In  0.500  0.000  0.500
In  0.000  0.500  0.500
In  0.500  0.500  0.692
In  0.500  0.500  0.308
Co  0.000  0.000  0.000

Results
uncorrected energy = -42.30 eV per cell
D(E_F) = 6.5 states/eV per cell

---

Here is Nd4In16Co3 after structural relaxation from Alexandria. Energies are from GGA-PBE.

a b c (Å): 6.618 6.618 12.346
angles (deg): 90.00 90.00 90.00
Element x y z (fractional)
Nd  0.500  0.000  0.804
Nd  0.000  0.500  0.196
Nd  0.000  0.500  0.804
Nd  0.500  0.000  0.196
In  0.000  0.000  0.790
In  0.272  0.272  0.000
In  0.500  0.500  0.805
In  0.728  0.272  0.000
In  0.500  0.500  0.195
In  0.728  0.728  0.000
In  0.000  0.000  0.210
In  0.750  0.750  0.616
In  0.750  0.250  0.384
In  0.250  0.250  0.616
In  0.250  0.750  0.384
In  0.272  0.728  0.000
In  0.750  0.750  0.384
In  0.750  0.250  0.616
In  0.250  0.250  0.384
In  0.250  0.750  0.616
Co  0.000  0.500  0.500
Co  0.000  0.000  0.000
Co  0.500  0.000  0.500

Results
uncorrected energy = -91.28 eV per cell
D(E_F) = 6.5 states/eV per cell

---

Here is Nd4In2Co after structural relaxation from Alexandria. Energies are from GGA-PBE.

a b c (Å): 5.160 5.160 8.947
angles (deg): 106.76 106.76 90.00
Element x y z (fractional)
Co  0.000  0.000  0.000
Nd  0.825  0.825  0.649
Nd  0.175  0.175  0.351
Nd  0.000  0.500  0.000
Nd  0.500  0.000  0.000
In  0.633  0.633  0.265
In  0.367  0.367  0.735

Results
uncorrected energy = -32.82 eV per cell
D(E_F) = 5.3 states/eV per cell

---

Here is Nd5InCo after structural relaxation from Alexandria. Energies are from GGA-PBE.

a b c (Å): 6.527 6.527 11.666
angles (deg): 73.46 73.46 65.54
Element x y z (fractional)
Nd  0.980  0.590  0.137
Nd  0.199  0.558  0.547
Nd  0.590  0.980  0.637
Nd  0.988  0.012  0.250
Nd  0.442  0.801  0.953
Nd  0.558  0.199  0.047
Nd  0.012  0.988  0.750
Nd  0.410  0.020  0.363
Nd  0.801  0.442  0.453
Nd  0.020  0.410  0.863
In  0.469  0.531  0.250
In  0.531  0.469  0.750
Co  0.000  0.000  0.000
Co  0.000  0.000  0.500

Results
uncorrected energy = -68.48 eV per cell
D(E_F) = 15.0 states/eV per cell